(1)
MnBe2Ir PBE-GGA optimized geometry; total magnetic moment = 3.06 μB/f.u.; SG = Amm2; formation energy = -0.36 eV per atom; VASP energy = -6.7269 eV/atom; energy relative to the lowest polymorph listed for this composition = 93.6 meV/atom
1.0
-2.610 2.361 0.516
-0.447 -1.056 2.570
2.593 2.231 2.910
Be Ir Mn
2 1 1
direct
0.000 0.195 0.984
0.500 0.052 0.270
0.000 0.474 0.427
0.500 0.778 0.818

***

(2)
MnBeIr PBE-GGA optimized geometry; total magnetic moment = 0.00 μB/f.u.; SG = Cmcm; formation energy = -0.33 eV per atom; VASP energy = -7.5837 eV/atom; energy relative to the lowest polymorph listed for this composition = 50.4 meV/atom
1.0
-1.573 -1.669 1.577
-1.544 -1.558 -3.188
3.638 -5.075 0.718
Mn Be Ir
2 2 2
direct
0.548 0.824 0.350
0.026 0.324 0.392
0.211 0.824 0.021
0.362 0.324 0.721
0.697 0.324 0.050
0.876 0.824 0.692

***

(3)
MnBeIr PBE-GGA optimized geometry; total magnetic moment = 0.61 μB/f.u.; SG = P4/nmm; formation energy = -0.18 eV per atom; VASP energy = -7.4338 eV/atom; energy relative to the lowest polymorph listed for this composition = 200.3 meV/atom
1.0
3.356 0.000 0.000
0.000 3.356 0.000
0.000 0.000 5.994
Ir Be Mn
2 2 2
direct
0.000 0.500 0.171
0.500 0.000 0.829
0.500 0.000 0.212
0.000 0.500 0.788
0.500 0.500 0.500
0.000 0.000 0.500

***

(4)
MnBe2Ir PBE-GGA optimized geometry; total magnetic moment = 2.86 μB/f.u.; SG = Pmmm; formation energy = -0.21 eV per atom; VASP energy = -6.5758 eV/atom; energy relative to the lowest polymorph listed for this composition = 244.7 meV/atom
1.0
2.958 0.000 0.000
0.000 4.120 0.000
0.000 0.000 3.664
Mn Be Ir
1 2 1
direct
0.000 0.500 0.500
0.500 0.500 0.000
0.000 0.000 0.000
0.500 0.000 0.500

***

(5)
MnBeIr PBE-GGA optimized geometry; total magnetic moment = 0.02 μB/f.u.; SG = Amm2; formation energy = -0.23 eV per atom; VASP energy = -7.4842 eV/atom; energy relative to the lowest polymorph listed for this composition = 150.0 meV/atom
1.0
-3.748 -0.875 1.097
0.352 -0.386 -6.410
0.717 -2.809 0.208
Ir Mn Be
2 2 2
direct
0.383 0.988 0.440
0.726 0.673 0.441
0.923 0.069 0.941
0.558 0.337 0.941
0.226 0.674 0.941
0.086 0.393 0.441

***

(6)
MnBe2Ir PBE-GGA optimized geometry; total magnetic moment = 0.00 μB/f.u.; SG = P4mm; formation energy = -0.28 eV per atom; VASP energy = -6.6552 eV/atom; energy relative to the lowest polymorph listed for this composition = 165.3 meV/atom
1.0
-1.013 -0.213 2.518
2.482 -0.597 0.948
0.971 5.382 0.846
Ir Be Mn
1 2 1
direct
0.000 0.000 0.483
0.500 0.500 0.218
0.000 0.000 0.021
0.500 0.500 0.778